This record from Alexandria describes K2Li3WF12 after structural relaxation. The functional is PBE+U.

Calculated values
Spin magnetization, μB/f.u.: 1.03
Energy, eV/f.u.: -81.959
SG: R-3m, No. 166

Lattice parameters (Å, degrees): 8.1194 8.1194 8.1194 51.04 51.04 51.04
With the nearest neighbours (Å) after each atom.
Element x y z (fractional)
1 K 0.0734 0.0734 0.0734  3 F 2.59
2 K 0.9266 0.9266 0.9266  3 F 2.59
3 Li 0.0000 0.5000 0.5000  4 F 1.94
4 Li 0.5000 0.0000 0.5000  4 F 1.94
5 Li 0.5000 0.5000 0.0000  4 F 1.94
6 W 0.5000 0.5000 0.5000  6 F 1.88
7 F 0.1711 0.1711 0.5772  2 Li 1.94
8 F 0.1711 0.5772 0.1711  2 Li 1.94
9 F 0.1946 0.5766 0.5766  1 W 1.88
10 F 0.4234 0.4234 0.8054  1 W 1.88
11 F 0.4234 0.8054 0.4234  1 W 1.88
12 F 0.4228 0.8289 0.8289  2 Li 1.94
13 F 0.5772 0.1711 0.1711  2 Li 1.94
14 F 0.5766 0.1946 0.5766  1 W 1.88
15 F 0.5766 0.5766 0.1946  1 W 1.88
16 F 0.8054 0.4234 0.4234  1 W 1.88
17 F 0.8289 0.4228 0.8289  2 Li 1.94
18 F 0.8289 0.8289 0.4228  2 Li 1.94